No. 1
Here is a PBEsol-optimized structure of K3AlRh from the Alexandria database. Energies are from SCAN.

Computed properties:
total magnetic moment: 4.6 μB/f.u.
energy of formation: 1.120 eV/atom
crystal system: cubic
SG: No. 221
E: -12.18 eV/atom

Unit cell a=6.246 b=6.246 c=6.246 alpha=90.00 beta=90.00 gamma=90.00
Each line ends with the local moment (μB).
Atoms (fractional coordinates):
Rh 0.500 0.500 0.500  1.80
K 0.000 0.500 0.000  0.05
K 0.500 0.000 0.000  0.05
K 0.000 0.000 0.500  0.05
Al 0.000 0.000 0.000  0.30

No. 2
Here is a PBEsol-optimized structure of K2AlRu from the Alexandria database. Energies are from SCAN.

Computed properties:
total magnetic moment: 0.6 μB/f.u.
energy of formation: 0.876 eV/atom
crystal system: tetragonal
SG: No. 122
E: -13.93 eV/atom

Unit cell a=3.836 b=3.836 c=12.002 alpha=99.20 beta=99.20 gamma=90.00
Each line ends with the local moment (μB).
Atoms (fractional coordinates):
Al 0.500 0.500 0.000  -0.02
Al 0.750 0.250 0.500  -0.02
K 0.125 0.123 0.750  -0.01
K 0.625 0.627 0.750  -0.01
K 0.877 0.375 0.250  -0.01
K 0.373 0.875 0.250  -0.01
Ru 0.250 0.750 0.500  0.75
Ru 0.000 0.000 0.000  0.75

No. 3
Here is a PBEsol-optimized structure of KAl2Ru from the Alexandria database. Energies are from SCAN.

Computed properties:
relative energy among the computed polymorphs: 59.3 kJ/mol of atoms
total magnetic moment: 0.0 μB/f.u.
energy of formation: 0.556 eV/atom
crystal system: tetragonal
SG: No. 139
E: -14.11 eV/atom

Unit cell a=4.392 b=4.772 c=4.392 alpha=62.60 beta=90.00 gamma=117.40
Atoms (fractional coordinates):
K 0.500 0.000 0.500
Ru 0.000 0.000 0.000
Al 0.750 0.500 0.750
Al 0.250 0.500 0.250

No. 4
Here is a PBEsol-optimized structure of KAl2Ru from the Alexandria database. Energies are from SCAN.

Computed properties:
relative energy among the computed polymorphs: 7.5 kJ/mol of atoms
total magnetic moment: 0.0 μB/f.u.
energy of formation: 0.019 eV/atom
crystal system: tetragonal
SG: No. 99
E: -14.65 eV/atom

Unit cell a=3.306 b=3.306 c=7.858 alpha=90.00 beta=90.00 gamma=90.00
Atoms (fractional coordinates):
Al 0.000 0.000 0.948
Al 0.500 0.500 0.170
Ru 0.500 0.500 0.859
K 0.000 0.000 0.523

No. 5
Here is a PBEsol-optimized structure of K2AlRu from the Alexandria database. Energies are from SCAN.

Computed properties:
total magnetic moment: 0.0 μB/f.u.
energy of formation: 0.975 eV/atom
crystal system: orthorhombic
SG: No. 65
E: -13.83 eV/atom

Unit cell a=2.808 b=2.808 c=11.419 alpha=90.00 beta=90.00 gamma=102.31
Atoms (fractional coordinates):
Al 0.500 0.500 0.000
Ru 0.500 0.500 0.500
K 0.000 0.000 0.268
K 0.000 0.000 0.732

No. 6
Here is a PBEsol-optimized structure of KAl2Ru from the Alexandria database. Energies are from SCAN.

Computed properties:
relative energy among the computed polymorphs: 78.6 kJ/mol of atoms
total magnetic moment: 0.0 μB/f.u.
energy of formation: 0.756 eV/atom
crystal system: cubic
SG: No. 216
E: -13.91 eV/atom

Unit cell a=4.647 b=4.647 c=4.647 alpha=60.00 beta=60.00 gamma=60.00
Atoms (fractional coordinates):
Ru 0.250 0.250 0.250
Al 0.000 0.000 0.000
Al 0.750 0.750 0.750
K 0.500 0.500 0.500

No. 7
Here is a PBEsol-optimized structure of KAl2Ru from the Alexandria database. Energies are from SCAN.

Computed properties:
relative energy among the computed polymorphs: 0.0 kJ/mol of atoms
total magnetic moment: 0.0 μB/f.u.
energy of formation: -0.059 eV/atom
crystal system: trigonal
SG: No. 166
E: -14.72 eV/atom

Unit cell a=4.245 b=4.245 c=6.665 alpha=71.43 beta=71.43 gamma=60.00
Atoms (fractional coordinates):
K 0.000 0.000 0.000
Ru 0.500 0.500 0.500
Al 0.194 0.194 0.419
Al 0.806 0.806 0.581

No. 8
Here is a PBEsol-optimized structure of K2AlRu from the Alexandria database. Energies are from SCAN.

Computed properties:
total magnetic moment: 0.0 μB/f.u.
energy of formation: 0.166 eV/atom
crystal system: tetragonal
SG: No. 99
E: -14.64 eV/atom

Unit cell a=3.418 b=3.418 c=9.980 alpha=90.00 beta=90.00 gamma=90.00
Atoms (fractional coordinates):
Al 0.500 0.500 0.645
K 0.500 0.500 0.335
K 0.000 0.000 0.917
Ru 0.000 0.000 0.603

No. 9
Here is a PBEsol-optimized structure of K2AlRu from the Alexandria database. Energies are from SCAN.

Computed properties:
total magnetic moment: 0.6 μB/f.u.
energy of formation: 0.574 eV/atom
crystal system: orthorhombic
SG: No. 44
E: -14.23 eV/atom

Unit cell a=4.101 b=5.722 c=6.053 alpha=118.21 beta=109.80 gamma=90.00
Each line ends with the local moment (μB).
Atoms (fractional coordinates):
Al 0.179 0.679 0.358  -0.03
Ru 0.568 0.568 0.137  0.54
K 0.777 0.277 0.555  0.01
K 0.975 0.975 0.950  0.00

No. 10
Here is a PBEsol-optimized structure of KAlRu from the Alexandria database. Energies are from SCAN.

Computed properties:
relative energy among the computed polymorphs: 0.0 kJ/mol of atoms
total magnetic moment: 0.0 μB/f.u.
energy of formation: 0.110 eV/atom
crystal system: tetragonal
SG: No. 107
E: -16.86 eV/atom

Unit cell a=3.338 b=3.338 c=6.447 alpha=105.00 beta=105.00 gamma=90.00
Atoms (fractional coordinates):
Al 0.936 0.936 0.872
Ru 0.393 0.393 0.786
K 0.671 0.671 0.342

No. 11
Here is a PBEsol-optimized structure of KAlRu from the Alexandria database. Energies are from SCAN.

Computed properties:
relative energy among the computed polymorphs: 34.0 kJ/mol of atoms
total magnetic moment: 0.2 μB/f.u.
energy of formation: 0.462 eV/atom
crystal system: trigonal
SG: No. 156
E: -16.51 eV/atom

Unit cell a=2.918 b=2.918 c=7.658 alpha=90.00 beta=90.00 gamma=120.00
Each line ends with the local moment (μB).
Atoms (fractional coordinates):
Al 0.000 0.000 0.054  0.00
K 0.333 0.667 0.650  -0.01
Ru 0.667 0.333 0.296  0.28

No. 12
Here is a PBEsol-optimized structure of K2AlSb from the Alexandria database. Energies are from SCAN.

Computed properties:
relative energy among the computed polymorphs: 0.0 kJ/mol of atoms
total magnetic moment: 0.1 μB/f.u.
crystal system: tetragonal
SG: No. 123
E: -15.37 eV/atom

Unit cell a=3.287 b=3.287 c=11.088 alpha=90.00 beta=90.00 gamma=90.00
Atoms (fractional coordinates):
Sb 0.500 0.500 0.000
Al 0.500 0.500 0.500
K 0.000 0.000 0.760
K 0.000 0.000 0.240